# 1
! PBE-GGA YMgH6Pd2, optimized geometry; values from VASP
&SYSTEM
  ibrav = 0, nat = 10, ntyp = 4
/
ATOMIC_SPECIES
Y 88.91 Y.upf
Mg 24.30 Mg.upf
H 1.01 H.upf
Pd 106.42 Pd.upf
CELL_PARAMETERS angstrom
4.536 0.000 0.000
2.268 3.929 0.000
2.268 1.310 5.347
ATOMIC_POSITIONS crystal
Y 0.000 0.000 0.000
Mg 0.500 0.500 0.500
H 0.073 0.553 0.821
H 0.553 0.073 0.821
H 0.447 0.447 0.179
H 0.927 0.447 0.179
H 0.447 0.927 0.179
H 0.553 0.553 0.821
Pd 0.788 0.788 0.636
Pd 0.212 0.212 0.364
! Electronic total energy   -41.77 eV per formula unit
! Space-group type   R-3m (166)

# 2
! PBE-GGA MgZnHPd2, optimized geometry; values from VASP
&SYSTEM
  ibrav = 0, nat = 5, ntyp = 4
/
ATOMIC_SPECIES
H 1.01 H.upf
Zn 65.41 Zn.upf
Mg 24.30 Mg.upf
Pd 106.42 Pd.upf
CELL_PARAMETERS angstrom
4.010 0.000 0.000
0.000 4.010 0.000
0.000 0.000 3.976
ATOMIC_POSITIONS crystal
H 0.000 0.000 0.000
Zn 0.500 0.500 0.500
Mg 0.000 0.000 0.500
Pd 0.000 0.500 0.000
Pd 0.500 0.000 0.000
! Relative energy among the computed polymorphs   0.00 eV/f.u.
! Space-group type   P4/mmm (123)

# 3
! PBE-GGA Mg2ZnHPd, optimized geometry; values from VASP
&SYSTEM
  ibrav = 0, nat = 5, ntyp = 4
/
ATOMIC_SPECIES
H 1.01 H.upf
Zn 65.41 Zn.upf
Mg 24.30 Mg.upf
Pd 106.42 Pd.upf
CELL_PARAMETERS angstrom
-2.712 2.222 -2.737
0.120 -3.393 -2.874
-2.841 -1.473 1.620
ATOMIC_POSITIONS crystal
H 0.000 0.000 0.000
Zn 0.500 0.500 0.500
Mg 0.000 0.500 0.000
Mg 0.500 0.000 0.000
Pd 0.000 0.000 0.500
! Relative energy among the computed polymorphs   0.00 eV/f.u.
! Space-group type   P4/mmm (123)

# 4
! PBE-GGA Mg2ZnHPd, optimized geometry; values from VASP
&SYSTEM
  ibrav = 0, nat = 5, ntyp = 4
/
ATOMIC_SPECIES
H 1.01 H.upf
Zn 65.41 Zn.upf
Mg 24.30 Mg.upf
Pd 106.42 Pd.upf
CELL_PARAMETERS angstrom
4.264 0.000 0.000
0.000 4.264 0.000
0.000 0.000 3.795
ATOMIC_POSITIONS crystal
H 0.000 0.000 0.000
Zn 0.000 0.000 0.500
Mg 0.000 0.500 0.000
Mg 0.500 0.000 0.000
Pd 0.500 0.500 0.500
! Relative energy among the computed polymorphs   0.16 eV/f.u.
! Space-group type   P4/mmm (123)

# 5
! PBE-GGA MgZnHPd2, optimized geometry; values from VASP
&SYSTEM
  ibrav = 0, nat = 5, ntyp = 4
/
ATOMIC_SPECIES
H 1.01 H.upf
Zn 65.41 Zn.upf
Mg 24.30 Mg.upf
Pd 106.42 Pd.upf
CELL_PARAMETERS angstrom
4.058 0.000 0.000
0.000 4.058 0.000
0.000 0.000 3.896
ATOMIC_POSITIONS crystal
H 0.000 0.000 0.000
Zn 0.000 0.000 0.500
Mg 0.500 0.500 0.500
Pd 0.000 0.500 0.000
Pd 0.500 0.000 0.000
! Relative energy among the computed polymorphs   0.20 eV/f.u.
! Space-group type   P4/mmm (123)

# 6
! PBE-GGA MgZnH2Pd5, optimized geometry; values from VASP
&SYSTEM
  ibrav = 0, nat = 9, ntyp = 4
/
ATOMIC_SPECIES
Mg 24.30 Mg.upf
Zn 65.41 Zn.upf
H 1.01 H.upf
Pd 106.42 Pd.upf
CELL_PARAMETERS angstrom
-3.448 -1.780 -0.524
1.833 -3.099 -1.538
0.587 -3.304 7.360
ATOMIC_POSITIONS crystal
Mg 0.000 0.000 0.000
Zn 0.500 0.500 0.500
H 0.000 0.000 0.264
H 0.000 0.000 0.736
Pd 0.000 0.000 0.500
Pd 0.000 0.500 0.754
Pd 0.500 0.000 0.246
Pd 0.000 0.500 0.246
Pd 0.500 0.000 0.754
! Electronic total energy   -37.78 eV per formula unit
! Space-group type   P4/mmm (123)

| no. | magnetization (μB per formula unit) |
| --- | --- |
| 1 | 0.000 |
| 2 | 0.000 |
| 3 | 0.000 |
| 4 | 0.000 |
| 5 | 0.000 |
| 6 | 0.000 |